[1]
! Li3ZrO meta-GGA SCAN single point on PBEsol structure; values from VASP
&SYSTEM
  ibrav = 0, nat = 5, ntyp = 3
/
ATOMIC_SPECIES
O 16.00 O.upf
Zr 91.22 Zr.upf
Li 6.94 Li.upf
CELL_PARAMETERS angstrom
-0.790 -5.048 -1.752
4.364 -1.631 2.733
-3.083 -1.016 4.317
ATOMIC_POSITIONS crystal
O 0.500 0.500 0.500
Zr 0.000 0.000 0.000
Li 0.000 0.500 0.000
Li 0.000 0.000 0.500
Li 0.500 0.000 0.000
! - space group = Pm-3m, No. 221
! - energy relative to the elements, uncorrected (eV/atom) = 1.5606
! - volume (Å³ per cell) = 158
! - DOS(E_F) (states/eV/atom) = 1.463



[2]
! LiOs3 meta-GGA SCAN single point on PBEsol structure; values from VASP
&SYSTEM
  ibrav = 0, nat = 4, ntyp = 2
/
ATOMIC_SPECIES
Li 6.94 Li.upf
Os 190.23 Os.upf
CELL_PARAMETERS angstrom
-0.325 -1.162 2.411
2.541 -3.168 -1.185
3.700 2.357 1.635
ATOMIC_POSITIONS crystal
Li 0.000 0.000 0.003
Os 0.500 0.000 0.519
Os 0.500 0.500 0.833
Os 0.000 0.500 0.311
! - energy of formation from the pure elements (eV per atom) = 0.197
! - space group = Pmm2, No. 25
! - volume (Å³ per cell) = 53
! - DOS(E_F) (states/eV/atom) = 0.679



[3]
! Li3Os meta-GGA SCAN single point on PBEsol structure; values from VASP
&SYSTEM
  ibrav = 0, nat = 4, ntyp = 2
/
ATOMIC_SPECIES
Os 190.23 Os.upf
Li 6.94 Li.upf
CELL_PARAMETERS angstrom
3.512 0.000 0.000
0.000 3.512 0.000
-1.756 -1.756 4.113
ATOMIC_POSITIONS crystal
Os 0.000 0.000 0.000
Li 0.750 0.250 0.500
Li 0.500 0.500 0.000
Li 0.250 0.750 0.500
! - energy of formation from the pure elements (eV per atom) = 0.561
! - E above lowest polymorph (eV/atom) = 0.4542
! - space group = I4/mmm, No. 139
! - volume (Å³ per cell) = 51
! - DOS(E_F) (states/eV/atom) = 0.652



[4]
! Li3Os meta-GGA SCAN single point on PBEsol structure; values from VASP
&SYSTEM
  ibrav = 0, nat = 4, ntyp = 2
/
ATOMIC_SPECIES
Os 190.23 Os.upf
Li 6.94 Li.upf
CELL_PARAMETERS angstrom
2.663 0.000 0.000
1.332 2.306 0.000
1.332 0.769 9.627
ATOMIC_POSITIONS crystal
Os 0.000 0.000 0.000
Li 0.743 0.743 0.772
Li 0.500 0.500 0.500
Li 0.257 0.257 0.228
! - energy of formation from the pure elements (eV per atom) = 0.106
! - E above lowest polymorph (eV/atom) = 0.0001
! - space group = R-3m, No. 166
! - volume (Å³ per cell) = 59
! - DOS(E_F) (states/eV/atom) = 0.574



[5]
! Li3Os2 meta-GGA SCAN single point on PBEsol structure; values from VASP
&SYSTEM
  ibrav = 0, nat = 5, ntyp = 2
/
ATOMIC_SPECIES
Li 6.94 Li.upf
Os 190.23 Os.upf
CELL_PARAMETERS angstrom
-0.069 -2.569 0.551
2.207 -1.425 -0.096
2.717 1.019 11.367
ATOMIC_POSITIONS crystal
Li 0.000 0.000 0.000
Li 0.205 0.205 0.385
Li 0.795 0.795 0.615
Os 0.601 0.601 0.196
Os 0.399 0.399 0.804
! - energy of formation from the pure elements (eV per atom) = 0.098
! - space group = R-3m, No. 166
! - volume (Å³ per cell) = 70
! - DOS(E_F) (states/eV/atom) = 0.548



[6]
! Li3Os meta-GGA SCAN single point on PBEsol structure; values from VASP
&SYSTEM
  ibrav = 0, nat = 4, ntyp = 2
/
ATOMIC_SPECIES
Os 190.23 Os.upf
Li 6.94 Li.upf
CELL_PARAMETERS angstrom
-0.071 -1.880 -1.885
0.280 -0.688 2.558
-9.576 -0.543 0.902
ATOMIC_POSITIONS crystal
Os 0.333 0.667 0.500
Li 0.000 0.000 0.272
Li 0.000 0.000 0.728
Li 0.333 0.667 0.000
! - energy of formation from the pure elements (eV per atom) = 0.106
! - E above lowest polymorph (eV/atom) = 0.0000
! - space group = P-6m2, No. 187
! - volume (Å³ per cell) = 59
! - DOS(E_F) (states/eV/atom) = 0.605



[7]
! LiOs meta-GGA SCAN single point on PBEsol structure; values from VASP
&SYSTEM
  ibrav = 0, nat = 2, ntyp = 2
/
ATOMIC_SPECIES
Os 190.23 Os.upf
Li 6.94 Li.upf
CELL_PARAMETERS angstrom
2.613 0.000 0.000
1.306 2.263 0.000
1.306 0.754 4.562
ATOMIC_POSITIONS crystal
Os 0.500 0.500 0.500
Li 0.000 0.000 0.000
! - energy of formation from the pure elements (eV per atom) = 0.103
! - space group = R-3m, No. 166
! - volume (Å³ per cell) = 27
! - DOS(E_F) (states/eV/atom) = 0.571



[8]
! LiOs2 meta-GGA SCAN single point on PBEsol structure; values from VASP
&SYSTEM
  ibrav = 0, nat = 3, ntyp = 2
/
ATOMIC_SPECIES
Li 6.94 Li.upf
Os 190.23 Os.upf
CELL_PARAMETERS angstrom
2.658 0.000 0.000
0.000 4.083 0.000
0.000 -2.041 3.536
ATOMIC_POSITIONS crystal
Li 0.000 0.000 0.000
Os 0.304 0.667 0.333
Os 0.696 0.333 0.667
! - energy of formation from the pure elements (eV per atom) = 0.183
! - E above lowest polymorph (eV/atom) = 0.0000
! - space group = P-3m1, No. 164
! - volume (Å³ per cell) = 38
! - DOS(E_F) (states/eV/atom) = 0.371



[9]
! LiOs meta-GGA SCAN single point on PBEsol structure; values from VASP
&SYSTEM
  ibrav = 0, nat = 4, ntyp = 2
/
ATOMIC_SPECIES
Os 190.23 Os.upf
Li 6.94 Li.upf
CELL_PARAMETERS angstrom
-4.122 0.059 -0.339
-2.034 -3.427 -1.109
-2.332 -2.008 2.765
ATOMIC_POSITIONS crystal
Os 0.750 0.750 0.750
Os 0.500 0.500 0.500
Li 0.250 0.250 0.250
Li 0.000 0.000 0.000
! - energy of formation from the pure elements (eV per atom) = -0.023
! - space group = Fd-3m, No. 227
! - volume (Å³ per cell) = 50
! - DOS(E_F) (states/eV/atom) = 0.367



[10]
! LiOs2 meta-GGA SCAN single point on PBEsol structure; values from VASP
&SYSTEM
  ibrav = 0, nat = 6, ntyp = 2
/
ATOMIC_SPECIES
Li 6.94 Li.upf
Os 190.23 Os.upf
CELL_PARAMETERS angstrom
-2.377 0.504 -1.195
-0.788 -4.249 -0.225
-2.016 -0.002 7.079
ATOMIC_POSITIONS crystal
Li 0.777 0.750 0.553
Li 0.223 0.250 0.447
Os 0.101 0.750 0.203
Os 0.444 0.750 0.888
Os 0.556 0.250 0.112
Os 0.899 0.250 0.797
! - energy of formation from the pure elements (eV per atom) = 0.216
! - E above lowest polymorph (eV/atom) = 0.0330
! - space group = Cmcm, No. 63
! - volume (Å³ per cell) = 85
! - DOS(E_F) (states/eV/atom) = 0.672



[11]
! LiOs meta-GGA SCAN single point on PBEsol structure; values from VASP
&SYSTEM
  ibrav = 0, nat = 8, ntyp = 2
/
ATOMIC_SPECIES
Li 6.94 Li.upf
Os 190.23 Os.upf
CELL_PARAMETERS angstrom
2.861 0.000 0.000
-1.431 2.478 0.000
0.000 0.000 12.705
ATOMIC_POSITIONS crystal
Li 0.000 0.000 0.750
Li 0.000 0.000 0.250
Li 0.667 0.333 0.250
Li 0.333 0.667 0.750
Os 0.667 0.333 0.921
Os 0.333 0.667 0.421
Os 0.333 0.667 0.079
Os 0.667 0.333 0.579
! - energy of formation from the pure elements (eV per atom) = 0.725
! - space group = P6_3/mmc, No. 194
! - volume (Å³ per cell) = 90
! - DOS(E_F) (states/eV/atom) = 0.677



[12]
! LiOs3 meta-GGA SCAN single point on PBEsol structure; values from VASP
&SYSTEM
  ibrav = 0, nat = 4, ntyp = 2
/
ATOMIC_SPECIES
Li 6.94 Li.upf
Os 190.23 Os.upf
CELL_PARAMETERS angstrom
-0.092 -2.857 -2.456
3.745 -0.334 0.249
-0.406 -2.435 2.848
ATOMIC_POSITIONS crystal
Li 0.000 0.000 0.000
Os 0.000 0.500 0.500
Os 0.500 0.000 0.500
Os 0.500 0.500 0.000
! - energy of formation from the pure elements (eV per atom) = 0.525
! - space group = Pm-3m, No. 221
! - volume (Å³ per cell) = 54
! - DOS(E_F) (states/eV/atom) = 1.088



[13]
! LiPOs2 meta-GGA SCAN single point on PBEsol structure; values from VASP
&SYSTEM
  ibrav = 0, nat = 4, ntyp = 3
/
ATOMIC_SPECIES
Li 6.94 Li.upf
Os 190.23 Os.upf
P 30.97 P.upf
CELL_PARAMETERS angstrom
-0.620 0.615 -2.617
0.805 -2.520 -0.783
-6.937 -2.541 1.046
ATOMIC_POSITIONS crystal
Li 0.500 0.500 0.747
Os 0.000 0.000 0.021
Os 0.500 0.500 0.266
P 0.000 0.000 0.466
! - energy of formation from the pure elements (eV per atom) = 0.090
! - space group = P4mm, No. 99
! - volume (Å³ per cell) = 57
! - DOS(E_F) (states/eV/atom) = 0.455



[14]
! LiPOs2 meta-GGA SCAN single point on PBEsol structure; values from VASP
&SYSTEM
  ibrav = 0, nat = 4, ntyp = 3
/
ATOMIC_SPECIES
Li 6.94 Li.upf
Os 190.23 Os.upf
P 30.97 P.upf
CELL_PARAMETERS angstrom
-1.798 1.258 1.565
-0.885 -2.056 -1.502
1.762 -5.422 6.381
ATOMIC_POSITIONS crystal
Li 0.500 0.500 0.261
Os 0.000 0.000 0.001
Os 0.500 0.500 0.730
P 0.000 0.000 0.509
! - energy of formation from the pure elements (eV per atom) = 0.347
! - space group = Cmm2, No. 35
! - volume (Å³ per cell) = 55
! - DOS(E_F) (states/eV/atom) = 0.686



[15]
! LiPOs2 meta-GGA SCAN single point on PBEsol structure; values from VASP
&SYSTEM
  ibrav = 0, nat = 4, ntyp = 3
/
ATOMIC_SPECIES
Li 6.94 Li.upf
Os 190.23 Os.upf
P 30.97 P.upf
CELL_PARAMETERS angstrom
-2.736 1.020 -2.161
-0.728 -3.485 -0.722
-0.638 1.118 4.388
ATOMIC_POSITIONS crystal
Li 0.250 0.750 0.500
Os 0.000 0.000 0.000
Os 0.750 0.250 0.500
P 0.500 0.500 0.000
! - energy of formation from the pure elements (eV per atom) = 0.178
! - space group = I-4m2, No. 119
! - volume (Å³ per cell) = 50
! - DOS(E_F) (states/eV/atom) = 0.536



[16]
! LiPOs2 meta-GGA SCAN single point on PBEsol structure; values from VASP
&SYSTEM
  ibrav = 0, nat = 4, ntyp = 3
/
ATOMIC_SPECIES
Li 6.94 Li.upf
Os 190.23 Os.upf
P 30.97 P.upf
CELL_PARAMETERS angstrom
2.904 0.000 0.000
0.000 4.031 0.000
0.000 0.000 4.031
ATOMIC_POSITIONS crystal
Li 0.500 0.000 0.000
Os 0.000 0.000 0.500
Os 0.000 0.500 0.000
P 0.500 0.500 0.500
! - energy of formation from the pure elements (eV per atom) = 0.067
! - space group = P4/mmm, No. 123
! - volume (Å³ per cell) = 47
! - DOS(E_F) (states/eV/atom) = 0.630



[17]
! LiP3Os meta-GGA SCAN single point on PBEsol structure; values from VASP
&SYSTEM
  ibrav = 0, nat = 5, ntyp = 3
/
ATOMIC_SPECIES
P 30.97 P.upf
Os 190.23 Os.upf
Li 6.94 Li.upf
CELL_PARAMETERS angstrom
4.623 0.000 0.000
0.000 4.623 0.000
0.000 0.000 4.623
ATOMIC_POSITIONS crystal
P 0.000 0.500 0.000
P 0.000 0.000 0.500
P 0.500 0.000 0.000
Os 0.000 0.000 0.000
Li 0.500 0.500 0.500
! - energy of formation from the pure elements (eV per atom) = 0.608
! - space group = Pm-3m, No. 221
! - volume (Å³ per cell) = 99
! - DOS(E_F) (states/eV/atom) = 0.992



[18]
! LiP2OsS meta-GGA SCAN single point on PBEsol structure; values from VASP
&SYSTEM
  ibrav = 0, nat = 5, ntyp = 4
/
ATOMIC_SPECIES
P 30.97 P.upf
S 32.06 S.upf
Os 190.23 Os.upf
Li 6.94 Li.upf
CELL_PARAMETERS angstrom
-1.565 1.065 3.985
-3.338 -2.831 -0.554
2.976 -3.943 2.222
ATOMIC_POSITIONS crystal
P 0.000 0.500 0.000
P 0.500 0.000 0.000
S 0.000 0.000 0.500
Os 0.000 0.000 0.000
Li 0.500 0.500 0.500
! - space group = P4/mmm, No. 123
! - energy relative to the elements, uncorrected (eV/atom) = 0.3011
! - volume (Å³ per cell) = 105
! - DOS(E_F) (states/eV/atom) = 0.686



[19]
! Li2TcPOs meta-GGA SCAN single point on PBEsol structure; values from VASP
&SYSTEM
  ibrav = 0, nat = 5, ntyp = 4
/
ATOMIC_SPECIES
P 30.97 P.upf
Os 190.23 Os.upf
Tc 98.00 Tc.upf
Li 6.94 Li.upf
CELL_PARAMETERS angstrom
-0.066 2.497 3.229
-3.320 -1.911 1.410
2.563 -2.811 2.226
ATOMIC_POSITIONS crystal
P 0.000 0.000 0.000
Os 0.500 0.500 0.500
Tc 0.000 0.000 0.500
Li 0.000 0.500 0.000
Li 0.500 0.000 0.000
! - energy of formation from the pure elements (eV per atom) = 0.757
! - space group = P4/mmm, No. 123
! - volume (Å³ per cell) = 73
! - DOS(E_F) (states/eV/atom) = 0.592



[20]
! LiOsPb2 meta-GGA SCAN single point on PBEsol structure; values from VASP
&SYSTEM
  ibrav = 0, nat = 4, ntyp = 3
/
ATOMIC_SPECIES
Li 6.94 Li.upf
Os 190.23 Os.upf
Pb 207.20 Pb.upf
CELL_PARAMETERS angstrom
3.320 0.000 0.000
-1.660 4.318 0.017
0.000 -1.091 5.659
ATOMIC_POSITIONS crystal
Li 0.000 0.000 0.500
Os 0.500 0.000 0.000
Pb 0.759 0.518 0.765
Pb 0.241 0.482 0.235
! - energy of formation from the pure elements (eV per atom) = 0.399
! - E above lowest polymorph (eV/atom) = 0.0469
! - space group = C2/m, No. 12
! - volume (Å³ per cell) = 81
! - DOS(E_F) (states/eV/atom) = 0.645